No. 1
{"formula": "InSiNi", "functional": "SCAN", "state": "PBEsol geometry", "cell": [[5.996, 0.000, 0.000], [0.000, 5.996, 0.000], [0.000, 0.000, 5.996]], "species": ["In", "In", "In", "In", "Si", "Si", "Si", "Si", "Ni", "Ni", "Ni", "Ni"], "frac_coords": [[0.000, 0.000, 0.000], [0.000, 0.500, 0.500], [0.500, 0.000, 0.500], [0.500, 0.500, 0.000], [0.250, 0.250, 0.750], [0.250, 0.750, 0.250], [0.750, 0.250, 0.250], [0.750, 0.750, 0.750], [0.250, 0.250, 0.250], [0.250, 0.750, 0.750], [0.750, 0.250, 0.750], [0.750, 0.750, 0.250]], "final_energy_ev_per_atom": -19.2679, "e_form_raw_ev_per_atom": 0.59, "n_ef_per_ev_fu": 1.64, "magmom_total_mub_per_atom": 0.000}

***

No. 2
{"formula": "Dy3Ga", "functional": "SCAN", "state": "PBEsol geometry", "cell": [[4.619, 0.000, 0.000], [0.000, 4.619, 0.000], [0.000, 0.000, 4.619]], "species": ["Dy", "Dy", "Dy", "Ga"], "frac_coords": [[0.000, 0.000, 0.500], [0.000, 0.500, 0.000], [0.500, 0.000, 0.000], [0.500, 0.500, 0.500]], "final_energy_ev_per_atom": -40.2456, "n_ef_per_ev_fu": 3.87, "formation_enthalpy_0k_kcal_per_mol_atoms": -7.19, "magmom_total_mub_per_atom": 0.164}

***

No. 3
{"formula": "Be12Fe", "functional": "SCAN", "state": "PBEsol geometry", "cell": [[-3.555, 3.555, 2.031], [3.555, -3.555, 2.031], [3.555, 3.555, -2.031]], "species": ["Be", "Be", "Be", "Be", "Be", "Be", "Be", "Be", "Be", "Be", "Be", "Be", "Fe"], "frac_coords": [[0.000, 0.000, 0.500], [0.000, 0.209, 0.209], [0.000, 0.500, 0.000], [0.000, 0.791, 0.791], [0.154, 0.500, 0.654], [0.209, 0.000, 0.209], [0.500, 0.000, 0.000], [0.500, 0.154, 0.654], [0.500, 0.500, 0.500], [0.500, 0.846, 0.346], [0.791, 0.000, 0.791], [0.846, 0.500, 0.346], [0.500, 0.500, 0.000]], "final_energy_ev_per_atom": -5.4241, "n_ef_per_ev_fu": 3.07, "formation_enthalpy_0k_kcal_per_mol_atoms": -0.25, "magmom_total_mub_per_atom": 0.109}

***

No. 4
{"formula": "ScAgSbTe2", "functional": "SCAN", "state": "PBEsol geometry", "cell": [[5.311, 0.000, 0.000], [0.000, 5.311, 0.000], [0.000, 0.000, 5.205]], "species": ["Sc", "Ag", "Sb", "Te", "Te"], "frac_coords": [[0.000, 0.000, 0.000], [0.500, 0.500, 0.500], [0.500, 0.500, 0.000], [0.000, 0.500, 0.500], [0.500, 0.000, 0.500]], "final_energy_ev_per_atom": -31.1430, "e_form_raw_ev_per_atom": 0.33, "n_ef_per_ev_fu": 4.15, "magmom_total_mub_per_atom": 0.000}